Computed, not measured: a geometry-optimized BeTeNF2 structure at the PBE level of DFT.

a b c (Å): 4.524 4.524 4.115
angles (deg): 90.00 90.00 90.00
Site moments in Bohr magnetons follow the coordinates.
Fractional positions:
Be (0.500, 0.500, 0.500)  0.29
F (0.500, 0.000, 0.000)  0.02
F (0.000, 0.500, 0.000)  0.02
N (0.000, 0.000, 0.500)  0.08
Te (0.000, 0.000, 0.000)  0.02

## Properties
Its energy above the most stable polymorph in this dataset is 1364.7 meV/atom. For the uncorrected formation energy, the calculation gives 1.130 eV/f.u.